The following is a GGA+U calculation of a relaxed Mn2GeRhF crystal, from Alexandria via LeMat-Bulk.

Cell: 5.0194 5.0194 3.9744 Å, 90.00 90.00 90.00°
Fractional coordinates of all 5 atoms:
Mn 0.0000 0.5000 0.0000
Mn 0.5000 0.0000 0.0000
Ge 0.0000 0.0000 0.5000
Rh 0.5000 0.5000 0.0000
F 0.5000 0.5000 0.5000

Calculated values
VASP energy ... -5.600 eV per atom
Space-group type ... P4/mmm (123)